DFT (PBEsol) results for NaSm3Ti2Sb2O14 after structural relaxation.

```
data_NaSm3Ti2Sb2O14
_space_group_name_H-M_alt 'P 1'
_space_group_IT_number 1
_space_group_name_Hall 'P 1'
_cell_length_a 7.3073
_cell_length_b 7.2584
_cell_length_c 12.5932
_cell_angle_alpha 90.00
_cell_angle_beta 125.11
_cell_angle_gamma 90.00
loop_
_atom_site_label
_atom_site_fract_x
_atom_site_fract_y
_atom_site_fract_z
Na1 0.0000 0.0000 0.0000
Na2 0.0000 0.0000 0.5000
Sm1 0.0000 0.2447 0.2500
Sm2 0.0000 0.5000 0.0000
Sm3 0.0000 0.5000 0.5000
Sm4 0.0000 0.7553 0.7500
Sm5 0.5000 0.2317 0.2500
Sm6 0.5000 0.7683 0.7500
Ti1 0.5000 0.2620 0.7500
Ti2 0.5000 0.5000 0.0000
Ti3 0.5000 0.5000 0.5000
Ti4 0.5000 0.7380 0.2500
Sb1 0.0000 0.2549 0.7500
Sb2 0.0000 0.7451 0.2500
Sb3 0.5000 0.0000 0.0000
Sb4 0.5000 0.0000 0.5000
O1 0.1300 0.2541 0.1285
O2 0.1300 0.7459 0.6285
O3 0.1708 0.0461 0.8719
O4 0.1708 0.9539 0.3719
O5 0.1762 0.4562 0.8772
O6 0.1762 0.5438 0.3772
O7 0.1797 0.2699 0.6788
O8 0.1797 0.7301 0.1788
O9 0.4227 0.2507 0.4224
O10 0.4227 0.7493 0.9224
O11 0.4256 0.4490 0.6221
O12 0.4256 0.5510 0.1221
O13 0.4438 0.0531 0.6322
O14 0.4438 0.9469 0.1322
O15 0.5562 0.0531 0.8678
O16 0.5562 0.9469 0.3678
O17 0.5744 0.4490 0.8779
O18 0.5744 0.5510 0.3779
O19 0.5773 0.2507 0.0776
O20 0.5773 0.7493 0.5776
O21 0.8203 0.2699 0.8212
O22 0.8203 0.7301 0.3212
O23 0.8238 0.4562 0.6228
O24 0.8238 0.5438 0.1228
O25 0.8292 0.0461 0.6281
O26 0.8292 0.9539 0.1281
O27 0.8700 0.2541 0.3715
O28 0.8700 0.7459 0.8715
```

Values from the calculation:
As for the total magnetization: 0.00 μB/atom. For the total energy, the calculation gives -0.29346 Ha/atom. The energy above the lowest structure with this stoichiometry is 0.000 eV per atom. For the energy relative to the elements, uncorrected, the calculation gives -2.72 eV per atom.


DFT (PBEsol) results for LiGa3Ru after structural relaxation.

```
data_LiGa3Ru
_space_group_name_H-M_alt 'P 1'
_space_group_IT_number 1
_space_group_name_Hall 'P 1'
_cell_length_a 4.7289
_cell_length_b 4.7289
_cell_length_c 4.7289
_cell_angle_alpha 90.00
_cell_angle_beta 90.00
_cell_angle_gamma 90.00
loop_
_atom_site_label
_atom_site_fract_x
_atom_site_fract_y
_atom_site_fract_z
Li1 0.0000 0.0000 0.0000
Ga1 0.0000 0.5000 0.5000
Ga2 0.5000 0.0000 0.5000
Ga3 0.5000 0.5000 0.0000
Ru1 0.5000 0.5000 0.5000
```

Values from the calculation:
As for the total magnetization: 0.00 μB/atom. For the total energy, the calculation gives -0.16678 Ha/atom. The calculation puts the energy of formation at -106.6 meV/atom.


DFT (PBEsol) results for BPdCl2 after structural relaxation.

```
data_BPdCl2
_space_group_name_H-M_alt 'P 1'
_space_group_IT_number 1
_space_group_name_Hall 'P 1'
_cell_length_a 8.3005
_cell_length_b 8.3005
_cell_length_c 8.3005
_cell_angle_alpha 21.31
_cell_angle_beta 21.31
_cell_angle_gamma 21.31
loop_
_atom_site_label
_atom_site_fract_x
_atom_site_fract_y
_atom_site_fract_z
B1 0.0000 0.0000 0.0000
Pd1 0.5000 0.5000 0.5000
Cl1 0.0691 0.0691 0.0691
Cl2 0.9309 0.9309 0.9309
```

Values from the calculation:
As for the total magnetization: 0.00 μB/atom. For the total energy, the calculation gives -0.13584 Ha/atom. The energy above the lowest structure with this stoichiometry is 0.000 eV per atom. For the energy relative to the elements, uncorrected, the calculation gives 0.55 eV per atom.


DFT (PBEsol) results for ReC after structural relaxation.

```
data_ReC
_space_group_name_H-M_alt 'P 1'
_space_group_IT_number 1
_space_group_name_Hall 'P 1'
_cell_length_a 4.4632
_cell_length_b 4.4632
_cell_length_c 4.4632
_cell_angle_alpha 90.00
_cell_angle_beta 90.00
_cell_angle_gamma 90.00
loop_
_atom_site_label
_atom_site_fract_x
_atom_site_fract_y
_atom_site_fract_z
Re1 0.1800 0.1800 0.1800
Re2 0.3200 0.8200 0.6800
Re3 0.6800 0.3200 0.8200
Re4 0.8200 0.6800 0.3200
C1 0.0605 0.5605 0.9395
C2 0.4395 0.4395 0.4395
C3 0.5605 0.9395 0.0605
C4 0.9395 0.0605 0.5605
```

Values from the calculation:
As for the total magnetization: 0.00 μB/atom. For the total energy, the calculation gives -0.39757 Ha/atom. The energy above the lowest structure with this stoichiometry is 0.000 eV per atom. The calculation puts the energy of formation at 669.4 meV/atom.